Material: Al2MoBr
Method: DFT, PBE
State: optimized geometry

Cell and atoms, written as POSCAR:
```
Al2MoBr
1.0
-1.3871 -0.6225 -2.6847
-1.4960 -2.3541 1.3188
-6.0962 4.9905 1.9926
Mo Al Br
1 2 1
direct
0.5000 0.5000 0.7720 Mo
0.5000 0.5000 0.1904 Al
0.0000 0.0000 0.9704 Al
0.0000 0.0000 0.5673 Br
```

Summary:
density of states at the Fermi level = 3.30 states/eV per cell
magnetic moment = 0.0 μB per formula unit
relative energy among the computed polymorphs = 19.13 kJ per mole of atoms
E_form (uncorrected) = 0.262 eV/atom